PBE Ta2Zn2Co2OsPt, relaxed; E_form = -0.286 eV per atom; crystal system = tetragonal; energy = -7.5023 eV per atom; spin magnetization = 0.00 μB per cell
1.0
-3.1320 2.1761 -1.8010
-2.6812 -3.1365 0.8730
-1.3580 2.7397 5.6720
Ta Zn Pt Co Os
2 2 1 2 1
direct
0.0000 0.5000 0.2419
0.5000 0.0000 0.7581
0.0000 0.5000 0.7493
0.5000 0.0000 0.2507
0.5000 0.5000 0.5000
0.0000 0.0000 0.5000
0.5000 0.5000 0.0000
0.0000 0.0000 0.0000